# 1
The following is a GGA-PBE calculation of crystalline PrSm6In6 at its relaxed geometry, from the Alexandria database.

Output
SG: P6/mmm, No. 191
Energy of formation from the pure elements (eV/atom): -0.35

Structure (CIF):
```
data_PrSm6In6
_space_group_name_H-M_alt 'P 1'
_space_group_IT_number 1
_space_group_name_Hall 'P 1'
_cell_length_a 6.3441
_cell_length_b 6.3441
_cell_length_c 11.0291
_cell_angle_alpha 90.00
_cell_angle_beta 90.00
_cell_angle_gamma 120.00
loop_
_atom_site_label
_atom_site_fract_x
_atom_site_fract_y
_atom_site_fract_z
_atom_site_occupancy
Pr1 0.0000 0.0000 0.0000 1
Sm1 0.0000 0.0000 0.3368 1
Sm2 0.0000 0.0000 0.6632 1
Sm3 0.3333 0.6667 0.0000 1
Sm4 0.3333 0.6667 0.5000 1
Sm5 0.6667 0.3333 0.0000 1
Sm6 0.6667 0.3333 0.5000 1
In1 0.0000 0.5000 0.2456 1
In2 0.0000 0.5000 0.7544 1
In3 0.5000 0.0000 0.2456 1
In4 0.5000 0.0000 0.7544 1
In5 0.5000 0.5000 0.2456 1
In6 0.5000 0.5000 0.7544 1
```

# 2
The following is a GGA-PBE calculation of crystalline Al3AsS at its relaxed geometry, from the Alexandria database.

Output
SG: Pm-3m, No. 221
Energy relative to the lowest polymorph listed for this composition (meV per atom): 0
Formation energy (no corrections) (eV per formula unit): 2.02

Structure (CIF):
```
data_Al3AsS
_space_group_name_H-M_alt 'P 1'
_space_group_IT_number 1
_space_group_name_Hall 'P 1'
_cell_length_a 4.7249
_cell_length_b 4.7249
_cell_length_c 4.7249
_cell_angle_alpha 90.00
_cell_angle_beta 90.00
_cell_angle_gamma 90.00
loop_
_atom_site_label
_atom_site_fract_x
_atom_site_fract_y
_atom_site_fract_z
_atom_site_occupancy
Al1 0.0000 0.0000 0.5000 1
Al2 0.0000 0.5000 0.0000 1
Al3 0.5000 0.0000 0.0000 1
As1 0.5000 0.5000 0.5000 1
S1 0.0000 0.0000 0.0000 1
```

# 3
The following is a GGA-PBE calculation of crystalline PmHoMgBi at its relaxed geometry, from the Alexandria database.

Output
SG: F-43m, No. 216
Energy of formation from the pure elements (eV/atom): -0.32

Structure (CIF):
```
data_PmHoMgBi
_space_group_name_H-M_alt 'P 1'
_space_group_IT_number 1
_space_group_name_Hall 'P 1'
_cell_length_a 5.4622
_cell_length_b 5.4622
_cell_length_c 5.4622
_cell_angle_alpha 60.00
_cell_angle_beta 60.00
_cell_angle_gamma 60.00
loop_
_atom_site_label
_atom_site_fract_x
_atom_site_fract_y
_atom_site_fract_z
_atom_site_occupancy
Pm1 0.0000 0.0000 0.0000 1
Ho1 0.5000 0.5000 0.5000 1
Mg1 0.2500 0.2500 0.2500 1
Bi1 0.7500 0.7500 0.7500 1
```